# GGA-PBE Li3TiGa, optimized geometry
# E above lowest polymorph ... 0.000 eV per atom
# ΔE_f ... 261 kJ/mol of formula units
data_Li3TiGa
_cell_length_a 4.5312
_cell_length_b 4.5312
_cell_length_c 4.5312
_cell_angle_alpha 90.00
_cell_angle_beta 90.00
_cell_angle_gamma 90.00
_symmetry_space_group_name_H-M 'P 1'
_symmetry_Int_Tables_number 1
loop_
_symmetry_equiv_pos_as_xyz
'x,y,z'
loop_
_atom_site_label
_atom_site_type_symbol
_atom_site_fract_x
_atom_site_fract_y
_atom_site_fract_z
_atom_site_occupancy
Li1 Li 0.0000 0.0000 0.5000 1
Li2 Li 0.0000 0.5000 0.0000 1
Li3 Li 0.5000 0.0000 0.0000 1
Ti1 Ti 0.5000 0.5000 0.5000 1
Ga1 Ga 0.0000 0.0000 0.0000 1